Below is a geometry-optimized ScNiBW structure, with properties calculated at the GGA-PBE level.

```
ScNiBW
1.0
3.2586 -2.5898 0.6168
-0.6705 -3.9736 1.2109
0.7092 -3.1646 -2.6811
Sc Ni B W
1 1 1 1
Direct
0.7500 0.7500 0.7500
0.5000 0.5000 0.5000
0.0000 0.0000 0.0000
0.2500 0.2500 0.2500
```

The value obtained for the relative energy among the computed polymorphs is 0.000 eV per formula unit. As for the volume: 53 Å³ per cell. The value obtained for the total energy is -30.69 eV/cell. Its total magnetization is 0.070 μB/cell.